1.
First-principles (PBE-GGA) data for a relaxed structure of K2NaBi2, as listed in Alexandria via LeMat-Bulk.

Properties
Spin magnetization ... 0.002 μB/f.u.
Energy above the lowest structure with this stoichiometry ... 6 meV per atom

a = 11.977 Å, b = 6.968 Å, c = 10.024 Å
α = 90.00°, β = 101.24°, γ = 90.00°
Space group C2/c (No. 15)
Inequivalent atoms, fractional coordinates:
1 K 0.154 0.143 0.154 x8
2 Na 0.000 0.396 0.750 x4
3 Bi 0.138 0.350 0.503 x8


2.
First-principles (PBE-GGA) data for a relaxed structure of KNaBi2, as listed in Alexandria via LeMat-Bulk.

Properties
Spin magnetization ... 0.000 μB/f.u.
Energy above the lowest structure with this stoichiometry ... 0 meV per atom

a = 4.926 Å, b = 4.934 Å, c = 10.536 Å
α = 90.00°, β = 90.00°, γ = 90.00°
Space group Cmmm (No. 65)
Inequivalent atoms, fractional coordinates:
1 K 0.000 0.000 0.000 x2
2 Na 0.000 0.000 0.500 x2
3 Bi 0.000 0.500 0.269 x4


3.
First-principles (PBE-GGA) data for a relaxed structure of KNaBi2, as listed in Alexandria via LeMat-Bulk.

Properties
Spin magnetization ... 0.000 μB/f.u.
Energy above the lowest structure with this stoichiometry ... 8 meV per atom

a = 7.330 Å, b = 7.124 Å, c = 10.421 Å
α = 90.00°, β = 90.00°, γ = 90.00°
Space group Pnma (No. 62)
Inequivalent atoms, fractional coordinates:
1 K 0.006 0.250 0.230 x4
2 Na 0.026 0.250 0.773 x4
3 Bi 0.215 0.023 0.506 x8


| no. | calculated formation energy (eV/atom) |
| --- | --- |
| 1 | -0.309 |
| 2 | -0.295 |
| 3 | -0.287 |